1.
DFT (PBE) results for Ca2PmY after structural relaxation.

Output
- Energy relative to the lowest polymorph listed for this composition: 0.0007 eV/atom
- ΔH_f (0 K): 0.107 eV per atom
- DOS at the Fermi energy: 19.9 states/eV per cell
- Total moment: 1.919 Bohr magnetons per cell

Geometry as CIF:
```
data_Ca2PmY
_chemical_formula_sum 'Ca6 Pm3 Y3'
_symmetry_space_group_name_H-M 'R 3 m'
_symmetry_Int_Tables_number 160
_symmetry_space_group_name_Hall 'R 3 -2"'
_cell_length_a 3.6993
_cell_length_b 3.6993
_cell_length_c 37.0204
_cell_angle_alpha 90.00
_cell_angle_beta 90.00
_cell_angle_gamma 120.00
loop_
_atom_site_label
_atom_site_type_symbol
_atom_site_fract_x
_atom_site_fract_y
_atom_site_fract_z
Ca1 Ca 0.0000 0.0000 0.0000
Ca2 Ca 0.0000 0.0000 0.1642
Pm1 Pm 0.0000 0.0000 0.5821
Y1 Y 0.0000 0.0000 0.4157
```



2.
DFT (PBE) results for Ca2PmY after structural relaxation.

Output
- Energy relative to the lowest polymorph listed for this composition: 0.0404 eV/atom
- ΔH_f (0 K): 0.147 eV per atom
- DOS at the Fermi energy: 23.3 states/eV per cell
- Total moment: 0.000 Bohr magnetons per cell

Geometry as CIF:
```
data_Ca2PmY
_chemical_formula_sum 'Ca8 Pm4 Y4'
_symmetry_space_group_name_H-M 'F m -3 m'
_symmetry_Int_Tables_number 225
_symmetry_space_group_name_Hall '-F 4 2 3'
_cell_length_a 8.3420
_cell_length_b 8.3420
_cell_length_c 8.3420
_cell_angle_alpha 90.00
_cell_angle_beta 90.00
_cell_angle_gamma 90.00
loop_
_atom_site_label
_atom_site_type_symbol
_atom_site_fract_x
_atom_site_fract_y
_atom_site_fract_z
Ca1 Ca 0.2500 0.2500 0.2500
Pm1 Pm 0.0000 0.0000 0.0000
Y1 Y 0.0000 0.0000 0.5000
```



3.
DFT (PBE) results for CaPm2Y9 after structural relaxation.

Output
- ΔH_f (0 K): 0.053 eV per atom
- DOS at the Fermi energy: 19.6 states/eV per cell
- Total moment: 0.000 Bohr magnetons per cell

Geometry as CIF:
```
data_CaPm2Y9
_chemical_formula_sum 'Ca1 Pm2 Y9'
_symmetry_space_group_name_H-M 'P 4/m m m'
_symmetry_Int_Tables_number 123
_symmetry_space_group_name_Hall '-P 4 2'
_cell_length_a 5.1106
_cell_length_b 5.1106
_cell_length_c 15.2998
_cell_angle_alpha 90.00
_cell_angle_beta 90.00
_cell_angle_gamma 90.00
loop_
_atom_site_label
_atom_site_type_symbol
_atom_site_fract_x
_atom_site_fract_y
_atom_site_fract_z
Ca1 Ca 0.0000 0.0000 0.0000
Pm1 Pm 0.0000 0.0000 0.3342
Y1 Y 0.0000 0.5000 0.1724
Y2 Y 0.0000 0.5000 0.5000
Y3 Y 0.5000 0.5000 0.0000
Y4 Y 0.5000 0.5000 0.3337
```



4.
DFT (PBE) results for CaPm7Y12 after structural relaxation.

Output
- ΔH_f (0 K): 0.612 eV per atom
- DOS at the Fermi energy: 57.4 states/eV per cell
- Total moment: 0.000 Bohr magnetons per cell

Geometry as CIF:
```
data_CaPm7Y12
_chemical_formula_sum 'Ca2 Pm14 Y24'
_symmetry_space_group_name_H-M 'I m -3 m'
_symmetry_Int_Tables_number 229
_symmetry_space_group_name_Hall '-I 4 2 3'
_cell_length_a 11.3820
_cell_length_b 11.3820
_cell_length_c 11.3820
_cell_angle_alpha 90.00
_cell_angle_beta 90.00
_cell_angle_gamma 90.00
loop_
_atom_site_label
_atom_site_type_symbol
_atom_site_fract_x
_atom_site_fract_y
_atom_site_fract_z
Ca1 Ca 0.0000 0.0000 0.0000
Pm1 Pm 0.0000 0.0000 0.5000
Pm2 Pm 0.2500 0.2500 0.2500
Y1 Y 0.0000 0.2534 0.2534
```



5.
DFT (PBE) results for CaPm4Y4 after structural relaxation.

Output
- ΔH_f (0 K): 0.057 eV per atom
- DOS at the Fermi energy: 26.8 states/eV per cell
- Total moment: 0.000 Bohr magnetons per cell

Geometry as CIF:
```
data_CaPm4Y4
_chemical_formula_sum 'Ca2 Pm8 Y8'
_symmetry_space_group_name_H-M 'P -1'
_symmetry_Int_Tables_number 2
_cell_length_a 6.7274
_cell_length_b 9.1567
_cell_length_c 10.6808
_cell_angle_alpha 105.76
_cell_angle_beta 100.25
_cell_angle_gamma 96.66
loop_
_symmetry_equiv_pos_as_xyz
'x,y,z'
'-x,-y,-z'
loop_
_atom_site_label
_atom_site_type_symbol
_atom_site_fract_x
_atom_site_fract_y
_atom_site_fract_z
Ca1 Ca 0.0022 0.2597 0.2572
Pm1 Pm 0.1271 0.3570 0.6092
Pm2 Pm 0.2205 0.9583 0.3986
Pm3 Pm 0.3311 0.0708 0.7436
Pm4 Pm 0.4031 0.6512 0.9490
Y1 Y 0.0621 0.3121 0.9305
Y2 Y 0.2767 0.0282 0.0670
Y3 Y 0.3379 0.5793 0.2494
Y4 Y 0.4475 0.6914 0.5908
```



6.
DFT (PBE) results for Ca2Pm4Y after structural relaxation.

Output
- Energy relative to the lowest polymorph listed for this composition: 0.0000 eV/atom
- ΔH_f (0 K): 0.127 eV per atom
- DOS at the Fermi energy: 23.0 states/eV per cell
- Total moment: 0.000 Bohr magnetons per cell

Geometry as CIF:
```
data_Ca2Pm4Y
_chemical_formula_sum 'Ca4 Pm8 Y2'
_symmetry_space_group_name_H-M 'I m m m'
_symmetry_Int_Tables_number 71
_symmetry_space_group_name_Hall '-I 2 2'
_cell_length_a 3.5808
_cell_length_b 5.9086
_cell_length_c 23.8112
_cell_angle_alpha 90.00
_cell_angle_beta 90.00
_cell_angle_gamma 90.00
loop_
_atom_site_label
_atom_site_type_symbol
_atom_site_fract_x
_atom_site_fract_y
_atom_site_fract_z
Ca1 Ca 0.0000 0.0000 0.2211
Pm1 Pm 0.0000 0.5000 0.1299
Pm2 Pm 0.0000 0.5000 0.4194
Y1 Y 0.0000 0.0000 0.5000
```



7.
DFT (PBE) results for CaPm5Y2 after structural relaxation.

Output
- ΔH_f (0 K): 0.259 eV per atom
- DOS at the Fermi energy: 59.4 states/eV per cell
- Total moment: 0.000 Bohr magnetons per cell

Geometry as CIF:
```
data_CaPm5Y2
_chemical_formula_sum 'Ca4 Pm20 Y8'
_symmetry_space_group_name_H-M 'I m m a'
_symmetry_Int_Tables_number 74
_symmetry_space_group_name_Hall '-I 2b 2'
_cell_length_a 6.0332
_cell_length_b 11.6810
_cell_length_c 16.2503
_cell_angle_alpha 90.00
_cell_angle_beta 90.00
_cell_angle_gamma 90.00
loop_
_atom_site_label
_atom_site_type_symbol
_atom_site_fract_x
_atom_site_fract_y
_atom_site_fract_z
Ca1 Ca 0.0000 0.2500 0.0964
Pm1 Pm 0.0000 0.0637 0.8951
Pm2 Pm 0.0000 0.0793 0.3039
Pm3 Pm 0.0000 0.2500 0.5503
Y1 Y 0.0000 0.0000 0.5000
Y2 Y 0.2500 0.2500 0.7500
```



8.
DFT (PBE) results for CaPm15Y4 after structural relaxation.

Output
- ΔH_f (0 K): 0.025 eV per atom
- DOS at the Fermi energy: 29.1 states/eV per cell
- Total moment: 0.000 Bohr magnetons per cell

Geometry as CIF:
```
data_CaPm15Y4
_chemical_formula_sum 'Ca1 Pm15 Y4'
_symmetry_space_group_name_H-M 'P 4/m m m'
_symmetry_Int_Tables_number 123
_symmetry_space_group_name_Hall '-P 4 2'
_cell_length_a 5.1587
_cell_length_b 5.1587
_cell_length_c 25.6964
_cell_angle_alpha 90.00
_cell_angle_beta 90.00
_cell_angle_gamma 90.00
loop_
_atom_site_label
_atom_site_type_symbol
_atom_site_fract_x
_atom_site_fract_y
_atom_site_fract_z
Ca1 Ca 0.0000 0.0000 0.0000
Pm1 Pm 0.0000 0.5000 0.1034
Pm2 Pm 0.0000 0.5000 0.3012
Pm3 Pm 0.0000 0.5000 0.5000
Pm4 Pm 0.5000 0.5000 0.0000
Pm5 Pm 0.5000 0.5000 0.2009
Pm6 Pm 0.5000 0.5000 0.4002
Y1 Y 0.0000 0.0000 0.2012
Y2 Y 0.0000 0.0000 0.4006
```